DFT (GGA+U) results for crystalline Sr2V2Se3O13 at its relaxed geometry.

Cell: 15.0727 9.8946 8.5676 Å, 90.00 97.04 90.00°
With the nearest neighbours (Å) after each atom.
Atoms (fractional coordinates):
Sr  0.0431  0.1827  0.1417  7 O 2.53-2.76
Sr  0.0431  0.3173  0.6417  7 O 2.53-2.76
Sr  0.3530  0.2177  0.5906  8 O 2.56-2.71
Sr  0.3530  0.2823  0.0906  8 O 2.56-2.71
Sr  0.6470  0.7177  0.9094  8 O 2.56-2.71
Sr  0.6470  0.7823  0.4094  8 O 2.56-2.71
Sr  0.9569  0.6827  0.3583  7 O 2.53-2.76
Sr  0.9569  0.8173  0.8583  7 O 2.53-2.76
V  0.1347  0.5069  0.0397  2 O 1.65-1.70
V  0.1347  0.9931  0.5397  2 O 1.65-1.70
V  0.4178  0.5531  0.4035  2 O 1.64-1.72
V  0.4178  0.9469  0.9035  2 O 1.64-1.72
V  0.5822  0.0531  0.0965  2 O 1.64-1.72
V  0.5822  0.4469  0.5965  2 O 1.64-1.72
V  0.8653  0.0069  0.4603  2 O 1.65-1.70
V  0.8653  0.4931  0.9603  2 O 1.65-1.70
Se  0.1454  0.6762  0.7092  3 O 1.71-1.77
Se  0.1454  0.8238  0.2092  3 O 1.71-1.77
Se  0.2132  0.0404  0.9015  3 O 1.69-1.80
Se  0.2132  0.4596  0.4015  3 O 1.69-1.80
Se  0.4176  0.5445  0.7959  3 O 1.69-1.78
Se  0.4176  0.9555  0.2959  3 O 1.69-1.78
Se  0.5824  0.0445  0.7041  3 O 1.69-1.78
Se  0.5824  0.4555  0.2041  3 O 1.69-1.78
Se  0.7868  0.5404  0.5985  3 O 1.69-1.80
Se  0.7868  0.9596  0.0985  3 O 1.69-1.80
Se  0.8546  0.1762  0.7908  3 O 1.71-1.77
Se  0.8546  0.3238  0.2908  3 O 1.71-1.77
O  0.0635  0.5897  0.5955  1 Se 1.71
O  0.0635  0.9103  0.0955  1 Se 1.71
O  0.0694  0.1103  0.4366  1 V 1.70
O  0.0694  0.3897  0.9366  1 V 1.70
O  0.1057  0.6604  0.8939  1 Se 1.77
O  0.1057  0.8396  0.3939  1 Se 1.77
O  0.1112  0.6553  0.1949  1 Se 1.75
O  0.1112  0.8447  0.6949  1 Se 1.75
O  0.1382  0.1002  0.7363  1 Se 1.80, 1 V 1.99
O  0.1382  0.3998  0.2363  1 Se 1.80, 1 V 1.99
O  0.1931  0.1543  0.0406  1 Se 1.69
O  0.1931  0.3457  0.5406  1 Se 1.69
O  0.2388  0.0163  0.5050  1 V 1.65
O  0.2388  0.4837  0.0050  1 V 1.65
O  0.3140  0.1050  0.8525  1 Se 1.75
O  0.3140  0.3950  0.3525  1 Se 1.75
O  0.3527  0.6670  0.3086  1 V 1.64
O  0.3527  0.8330  0.8086  1 V 1.64
O  0.3647  0.5629  0.6032  1 Se 1.75
O  0.3647  0.9371  0.1032  1 Se 1.75
O  0.3947  0.1196  0.3302  1 Se 1.69
O  0.3947  0.3804  0.8302  1 Se 1.69
O  0.4664  0.0431  0.7255  1 Se 1.78
O  0.4664  0.4569  0.2255  1 Se 1.78
O  0.4822  0.1296  0.0317  1 V 1.72
O  0.4822  0.3704  0.5317  1 V 1.72
O  0.5178  0.6296  0.4683  1 V 1.72
O  0.5178  0.8704  0.9683  1 V 1.72
O  0.5336  0.5431  0.7745  1 Se 1.78
O  0.5336  0.9569  0.2745  1 Se 1.78
O  0.6053  0.6196  0.1698  1 Se 1.69
O  0.6053  0.8804  0.6698  1 Se 1.69
O  0.6353  0.0629  0.8968  1 Se 1.75
O  0.6353  0.4371  0.3968  1 Se 1.75
O  0.6473  0.1670  0.1914  1 V 1.64
O  0.6473  0.3330  0.6914  1 V 1.64
O  0.6860  0.6050  0.6475  1 Se 1.75
O  0.6860  0.8950  0.1475  1 Se 1.75
O  0.7612  0.5163  0.9950  1 V 1.65
O  0.7612  0.9837  0.4950  1 V 1.65
O  0.8069  0.6543  0.4594  1 Se 1.69
O  0.8069  0.8457  0.9594  1 Se 1.69
O  0.8618  0.6002  0.7637  1 Se 1.80, 1 V 1.99
O  0.8618  0.8998  0.2637  1 Se 1.80, 1 V 1.99
O  0.8888  0.1553  0.3051  1 Se 1.75
O  0.8888  0.3447  0.8051  1 Se 1.75
O  0.8943  0.1604  0.6061  1 Se 1.77
O  0.8943  0.3396  0.1061  1 Se 1.77
O  0.9306  0.6103  0.0634  1 V 1.70
O  0.9306  0.8897  0.5634  1 V 1.70
O  0.9365  0.0897  0.9045  1 Se 1.71
O  0.9365  0.4103  0.4045  1 Se 1.71

Summary:
Raw total energy: -509.4 eV per cell
DOS(E_F): 0.00 states/eV/f.u.
Magnetization: 0.00 μB per formula unit